Below is a relaxed structure of Li2UPaSe4, with properties calculated at the PBE level.

Cell lengths 3.980, 6.908, 7.105 Å; angles 108.83, 90.00, 90.00 degrees
Sites, in units of the cell vectors:
1 Se 0.500 0.745 0.738
2 Se 0.000 0.754 0.264
3 Se 0.500 0.255 0.262
4 Se 0.000 0.246 0.736
5 Li 0.000 0.500 0.500
6 Li 0.500 0.000 0.500
7 Pa 0.500 0.500 0.000
8 U 0.000 0.000 0.000

Calculated values
Calculated total energy, eV per atom: -6.0549
Formation energy from raw total energies, eV/atom: -1.24